(1)
Material: BaHg2PdPb
Method: DFT, PBE
State: relaxed

The structure in CIF format:
```
data_BaHg2PdPb
_chemical_formula_sum 'Ba2 Hg4 Pd2 Pb2'
_cell_length_a 4.5574
_cell_length_b 4.9434
_cell_length_c 12.7416
_cell_angle_alpha 90.00
_cell_angle_beta 90.00
_cell_angle_gamma 90.00
_space_group_name_H-M_alt 'I m m 2'
_space_group_IT_number 44
loop_
_space_group_symop_operation_xyz
'x,y,z'
'-x,-y,z'
'-x,y,z'
'x,-y,z'
'x+1/2,y+1/2,z+1/2'
'-x+1/2,-y+1/2,z+1/2'
'-x+1/2,y+1/2,z+1/2'
'x+1/2,-y+1/2,z+1/2'
loop_
_atom_site_label
_atom_site_type_symbol
_atom_site_fract_x
_atom_site_fract_y
_atom_site_fract_z
Ba1 Ba 0.0000 0.0000 0.0000
Hg1 Hg 0.0000 0.0000 0.6059
Hg2 Hg 0.0000 0.5000 0.2770
Pd1 Pd 0.0000 0.0000 0.3901
Pb1 Pb 0.0000 0.5000 0.7611
```

The calculation puts the energy relative to the elements at -408 meV/atom. As for the total magnetization: 0.000 μB/atom. For the energy above the most stable polymorph in this dataset, the calculation gives 0.0000 eV/atom.

(2)
Material: BaHgPdPb
Method: DFT, PBE
State: relaxed

The structure in CIF format:
```
data_BaHgPdPb
_chemical_formula_sum 'Ba4 Hg4 Pd4 Pb4'
_cell_length_a 7.6588
_cell_length_b 7.6588
_cell_length_c 7.6588
_cell_angle_alpha 90.00
_cell_angle_beta 90.00
_cell_angle_gamma 90.00
_space_group_name_H-M_alt 'F -4 3 m'
_space_group_IT_number 216
_space_group_name_Hall 'F -4 2 3'
loop_
_atom_site_label
_atom_site_type_symbol
_atom_site_fract_x
_atom_site_fract_y
_atom_site_fract_z
Ba1 Ba 0.0000 0.0000 0.0000
Hg1 Hg 0.2500 0.2500 0.2500
Pd1 Pd 0.2500 0.2500 0.7500
Pb1 Pb 0.0000 0.0000 0.5000
```

The calculation puts the energy relative to the elements at -333 meV/atom. As for the total magnetization: 0.000 μB/atom.

(3)
Material: Ba2Hg3Pd4Pb
Method: DFT, PBE
State: relaxed

The structure in CIF format:
```
data_Ba2Hg3Pd4Pb
_chemical_formula_sum 'Ba2 Hg3 Pd4 Pb1'
_cell_length_a 4.8382
_cell_length_b 4.8382
_cell_length_c 11.1045
_cell_angle_alpha 90.00
_cell_angle_beta 90.00
_cell_angle_gamma 90.00
_space_group_name_H-M_alt 'P -4 m 2'
_space_group_IT_number 115
loop_
_space_group_symop_operation_xyz
'x,y,z'
'y,-x,-z'
'-x,-y,z'
'-y,x,-z'
'-x,y,z'
'-y,-x,-z'
'x,-y,z'
'y,x,-z'
loop_
_atom_site_label
_atom_site_type_symbol
_atom_site_fract_x
_atom_site_fract_y
_atom_site_fract_z
Ba1 Ba 0.0000 0.5000 0.2310
Hg1 Hg 0.0000 0.5000 0.8745
Hg2 Hg 0.5000 0.5000 0.5000
Pd1 Pd 0.0000 0.0000 0.0000
Pd2 Pd 0.0000 0.5000 0.6282
Pd3 Pd 0.5000 0.5000 0.0000
Pb1 Pb 0.0000 0.0000 0.5000
```

The calculation puts the energy relative to the elements at -428 meV/atom. As for the total magnetization: 0.000 μB/atom.

(4)
Material: Ba3Hg2Pd4Pb2
Method: DFT, PBE
State: relaxed

The structure in CIF format:
```
data_Ba3Hg2Pd4Pb2
_chemical_formula_sum 'Ba3 Hg2 Pd4 Pb2'
_cell_length_a 4.8464
_cell_length_b 4.8464
_cell_length_c 15.9654
_cell_angle_alpha 90.00
_cell_angle_beta 90.00
_cell_angle_gamma 120.00
_space_group_name_H-M_alt 'P -3 m 1'
_space_group_IT_number 164
_space_group_name_Hall '-P 3 2"'
loop_
_atom_site_label
_atom_site_type_symbol
_atom_site_fract_x
_atom_site_fract_y
_atom_site_fract_z
Ba1 Ba 0.0000 0.0000 0.0000
Ba2 Ba 0.0000 0.0000 0.2763
Hg1 Hg 0.3333 0.6667 0.1392
Pd1 Pd 0.3333 0.6667 0.3958
Pd2 Pd 0.3333 0.6667 0.8653
Pb1 Pb 0.3333 0.6667 0.5692
```

The calculation puts the energy relative to the elements at -473 meV/atom. As for the total magnetization: 0.000 μB/atom.

(5)
Material: Ba2HgPd4Pb3
Method: DFT, PBE
State: relaxed

The structure in CIF format:
```
data_Ba2HgPd4Pb3
_chemical_formula_sum 'Ba2 Hg1 Pd4 Pb3'
_cell_length_a 4.9808
_cell_length_b 4.9808
_cell_length_c 10.6900
_cell_angle_alpha 90.00
_cell_angle_beta 90.00
_cell_angle_gamma 90.00
_space_group_name_H-M_alt 'P -4 m 2'
_space_group_IT_number 115
loop_
_space_group_symop_operation_xyz
'x,y,z'
'y,-x,-z'
'-x,-y,z'
'-y,x,-z'
'-x,y,z'
'-y,-x,-z'
'x,-y,z'
'y,x,-z'
loop_
_atom_site_label
_atom_site_type_symbol
_atom_site_fract_x
_atom_site_fract_y
_atom_site_fract_z
Ba1 Ba 0.0000 0.5000 0.2479
Hg1 Hg 0.0000 0.0000 0.5000
Pd1 Pd 0.0000 0.0000 0.0000
Pd2 Pd 0.0000 0.5000 0.6267
Pd3 Pd 0.5000 0.5000 0.0000
Pb1 Pb 0.0000 0.5000 0.8846
Pb2 Pb 0.5000 0.5000 0.5000
```

The calculation puts the energy relative to the elements at -494 meV/atom. As for the total magnetization: 0.000 μB/atom.

(6)
Material: Ba2HgPdPb6
Method: DFT, PBE
State: relaxed

The structure in CIF format:
```
data_Ba2HgPdPb6
_chemical_formula_sum 'Ba12 Hg6 Pd6 Pb36'
_cell_length_a 7.5290
_cell_length_b 7.5290
_cell_length_c 41.9011
_cell_angle_alpha 90.00
_cell_angle_beta 90.00
_cell_angle_gamma 120.00
_space_group_name_H-M_alt 'R -3 m'
_space_group_IT_number 166
_space_group_name_Hall '-R 3 2"'
loop_
_atom_site_label
_atom_site_type_symbol
_atom_site_fract_x
_atom_site_fract_y
_atom_site_fract_z
Ba1 Ba 0.0000 0.0000 0.1123
Ba2 Ba 0.0000 0.0000 0.2836
Hg1 Hg 0.0000 0.0000 0.4266
Pd1 Pd 0.0000 0.0000 0.0000
Pd2 Pd 0.0000 0.0000 0.5000
Pb1 Pb 0.0378 0.5189 0.2990
Pb2 Pb 0.0488 0.5244 0.8649
```

The calculation puts the energy relative to the elements at -231 meV/atom. As for the total magnetization: 0.000 μB/atom.